Crystalline AcDy3Y at its relaxed geometry. Source: Alexandria, functional PBE.

Values from the calculation:
DOS at the Fermi energy   15.56 states/eV/cell
Energy of formation   0.156 eV/atom
Symmetry   C2/m (12)
Electronic total energy   -4.72 eV/atom

abc: 4.9321 10.2279 8.6158
angles: 59.45 90.00 103.93
Atoms (fractional coordinates):
Dy: 0.2953 0.6237 0.0377
Dy: 0.4658 0.9647 0.6267
Dy: 0.9372 0.9075 0.9346
Dy: 0.1068 0.2466 0.4870
Dy: 0.5782 0.1894 0.7949
Dy: 0.7487 0.5304 0.3838
Ac: 0.6370 0.3067 0.1309
Ac: 0.4070 0.8474 0.2906
Y: 0.2094 0.4520 0.7244
Y: 0.8346 0.7021 0.6971